Computed, not measured: an optimized crystal structure of LiZnSiMo2 at the PBE level of DFT.

Cell lengths 4.697, 4.279, 4.697 Å; angles 90.00, 90.00, 90.00 degrees
Positions (direct):
Li  0.500  0.500  0.500
Mo  0.500  0.000  0.000
Zn  0.000  0.000  0.000
Si  0.000  0.500  0.000
Mo  0.000  0.000  0.500

Calculated values
E = -4.55 eV/atom
density = 5.14 g/cm³
magnetization = 0.00 μB/f.u.
energy relative to the elements, uncorrected = 1.50 eV per atom